Entry 1:
The following is a GGA-PBE calculation of a relaxed structure of Pm2PrIn, from Alexandria via LeMat-Bulk.

Geometry as POSCAR:
```
Pm2PrIn
1.0
-0.982 2.853 -2.095
-3.450 -0.287 1.227
2.040 5.930 7.122
Pr In Pm
1 1 2
Direct
0.500 0.500 0.500
0.500 0.500 0.000
0.000 0.000 0.222
0.000 0.000 0.778
```

## Properties
As for the formation energy: -232 meV per atom. The total DFT energy (no corrections) comes out at -4.486 eV/atom. The symmetry is P4/mmm.



Entry 2:
The following is a GGA-PBE calculation of a relaxed structure of Pm5Pr4In2, from Alexandria via LeMat-Bulk.

Geometry as POSCAR:
```
Pm5Pr4In2
1.0
5.360 0.000 0.000
2.680 4.642 0.000
2.680 1.547 15.873
Pr Pm In
4 5 2
Direct
0.427 0.427 0.720
0.573 0.573 0.280
0.727 0.727 0.820
0.273 0.273 0.180
0.196 0.196 0.411
0.500 0.500 0.500
0.351 0.351 0.946
0.649 0.649 0.054
0.804 0.804 0.589
0.120 0.120 0.641
0.880 0.880 0.359
```

## Properties
As for the formation energy: 165 meV per atom. The total DFT energy (no corrections) comes out at -4.230 eV/atom. The symmetry is R-3m.



Entry 3:
The following is a GGA-PBE calculation of a relaxed structure of Pm4Pr7In, from Alexandria via LeMat-Bulk.

Geometry as POSCAR:
```
Pm4Pr7In
1.0
5.982 1.615 0.650
4.053 7.947 2.785
-1.395 -0.022 10.123
Pr Pm In
7 4 1
Direct
0.463 0.283 0.433
0.500 0.000 0.000
0.926 0.823 0.354
0.707 0.544 0.913
0.537 0.717 0.567
0.293 0.456 0.087
0.074 0.177 0.646
0.101 0.133 0.262
0.372 0.394 0.739
0.628 0.606 0.261
0.899 0.867 0.738
0.000 0.000 0.000
```

## Properties
As for the formation energy: -7 meV per atom. The total DFT energy (no corrections) comes out at -4.607 eV/atom. The symmetry is P-1.



Entry 4:
The following is a GGA-PBE calculation of a relaxed structure of Pm2Pr2In, from Alexandria via LeMat-Bulk.

Geometry as POSCAR:
```
Pm2Pr2In
1.0
-4.152 -0.938 -1.381
1.661 -1.943 -3.673
1.584 -6.345 6.800
Pm Pr In
2 2 1
Direct
0.585 0.585 0.170
0.415 0.415 0.830
0.250 0.750 0.500
0.750 0.250 0.500
0.000 0.000 0.000
```

## Properties
As for the formation energy: 266 meV per atom. The total DFT energy (no corrections) comes out at -4.093 eV/atom. The symmetry is I4/mmm.



Entry 5:
The following is a GGA-PBE calculation of a relaxed structure of Pm2Pr8In, from Alexandria via LeMat-Bulk.

Geometry as POSCAR:
```
Pm2Pr8In
1.0
-2.952 3.467 2.346
-1.432 -5.331 6.076
9.087 2.996 1.414
Pm Pr In
2 8 1
Direct
0.224 0.634 0.449
0.776 0.366 0.551
0.323 0.092 0.646
0.863 0.822 0.727
0.590 0.442 0.179
0.044 0.730 0.087
0.956 0.270 0.913
0.410 0.558 0.821
0.137 0.178 0.273
0.677 0.908 0.354
0.500 0.000 0.000
```

## Properties
As for the formation energy: -67 meV per atom. The total DFT energy (no corrections) comes out at -4.656 eV/atom. The symmetry is C2/m.



Entry 6:
The following is a GGA-PBE calculation of a relaxed structure of Pm2Pr2In3, from Alexandria via LeMat-Bulk.

Geometry as POSCAR:
```
Pm2Pr2In3
1.0
3.941 0.397 0.705
-0.946 8.688 0.423
1.006 -0.573 6.184
In Pm Pr
3 2 2
Direct
0.838 0.447 0.325
0.162 0.553 0.675
0.000 0.000 0.000
0.293 0.161 0.415
0.707 0.839 0.585
0.440 0.703 0.121
0.560 0.297 0.879
```

## Properties
As for the formation energy: -368 meV per atom. The total DFT energy (no corrections) comes out at -4.265 eV/atom. The symmetry is C2/m.



Entry 7:
The following is a GGA-PBE calculation of a relaxed structure of Pm12Pr7In, from Alexandria via LeMat-Bulk.

Geometry as POSCAR:
```
Pm12Pr7In
1.0
8.669 1.704 -1.328
-1.767 8.657 -1.328
1.135 1.704 8.696
Pm Pr In
12 7 1
Direct
0.461 0.122 0.343
0.334 0.887 0.004
0.343 0.461 0.122
0.122 0.343 0.461
0.539 0.878 0.657
0.887 0.004 0.334
0.113 0.996 0.666
0.004 0.334 0.887
0.996 0.666 0.113
0.666 0.113 0.996
0.657 0.539 0.878
0.878 0.657 0.539
0.379 0.234 0.789
0.234 0.789 0.379
0.211 0.621 0.766
0.766 0.211 0.621
0.500 0.500 0.500
0.621 0.766 0.211
0.789 0.379 0.234
0.000 0.000 0.000
```

## Properties
As for the formation energy: 152 meV per atom. The total DFT energy (no corrections) comes out at -4.509 eV/atom. The symmetry is R-3.



Entry 8:
The following is a GGA-PBE calculation of a relaxed structure of PmPr3In4, from Alexandria via LeMat-Bulk.

Geometry as POSCAR:
```
PmPr3In4
1.0
-2.309 0.384 -2.841
5.332 -1.984 -4.602
-4.123 -8.294 4.616
Pr In Pm
3 4 1
Direct
0.784 0.784 0.568
0.216 0.216 0.432
0.000 0.500 0.000
0.374 0.581 0.747
0.626 0.419 0.253
0.374 0.166 0.747
0.626 0.834 0.253
0.500 0.000 0.000
```

## Properties
As for the formation energy: -318 meV per atom. The total DFT energy (no corrections) comes out at -4.073 eV/atom. The symmetry is Immm.